{
  "formula": "KLi2VF8",
  "functional": "PBE with a Hubbard U",
  "state": "optimized geometry",
  "dft_energy_ev_per_atom": -4.943,
  "volume_a3_per_fu": 174.2,
  "mass_density_g_cm3": 2.4,
  "cell": [[-2.1327, 4.3667, -0.6321], [-4.8028, -0.8900, 0.5056], [0.2123, 1.4796, 7.3341]],
  "species": ["K", "Li", "Li", "V", "F", "F", "F", "F", "F", "F", "F", "F"],
  "fractional_positions": [[0.0000, 0.0000, 0.5000], [0.4993, 0.4993, 0.6741], [0.5007, 0.5007, 0.3259], [0.0000, 0.0000, 0.0000], [0.2112, 0.7805, 0.1741], [0.7692, 0.7699, 0.0051], [0.7802, 0.2111, 0.1741], [0.7888, 0.2195, 0.8259], [0.2308, 0.2301, 0.9949], [0.2198, 0.7889, 0.8259], [0.6683, 0.6692, 0.4921], [0.3317, 0.3308, 0.5079]]
}